Record 1
Below is crystalline ReHg3 at its relaxed geometry, with properties calculated at the PBE-GGA level.

Geometry as CIF:
```
data_ReHg3
_chemical_formula_sum 'Re2 Hg6'
_symmetry_space_group_name_H-M 'I m m m'
_symmetry_Int_Tables_number 71
_symmetry_space_group_name_Hall '-I 2 2'
_cell_length_a 2.830
_cell_length_b 4.877
_cell_length_c 13.517
_cell_angle_alpha 90.00
_cell_angle_beta 90.00
_cell_angle_gamma 90.00
loop_
_atom_site_label
_atom_site_type_symbol
_atom_site_fract_x
_atom_site_fract_y
_atom_site_fract_z
Re1 Re 0.000 0.000 0.000
Hg1 Hg 0.000 0.000 0.500
Hg2 Hg 0.000 0.500 0.315
```

Results
polymorph energy (0 for the lowest one)	0.177	eV per atom
electronic total energy	-2.649	eV per atom
total magnetization	0.86	μB/cell
density of states at the Fermi level	6.402	states/eV per cell
energy of formation from the pure elements	2.76	eV/f.u.

Record 2
Below is crystalline Re3Hg at its relaxed geometry, with properties calculated at the PBE-GGA level.

Geometry as CIF:
```
data_Re3Hg
_chemical_formula_sum 'Re6 Hg2'
_symmetry_space_group_name_H-M 'P m -3 n'
_symmetry_Int_Tables_number 223
_symmetry_space_group_name_Hall '-P 4n 2 3'
_cell_length_a 5.067
_cell_length_b 5.067
_cell_length_c 5.067
_cell_angle_alpha 90.00
_cell_angle_beta 90.00
_cell_angle_gamma 90.00
loop_
_atom_site_label
_atom_site_type_symbol
_atom_site_fract_x
_atom_site_fract_y
_atom_site_fract_z
Re1 Re 0.000 0.250 0.500
Hg1 Hg 0.000 0.000 0.000
```

Results
polymorph energy (0 for the lowest one)	0.501	eV per atom
electronic total energy	-8.515	eV per atom
total magnetization	0.00	μB/cell
density of states at the Fermi level	9.136	states/eV per cell
energy of formation from the pure elements	3.59	eV/f.u.

Record 3
Below is crystalline Re4Hg at its relaxed geometry, with properties calculated at the PBE-GGA level.

Geometry as CIF:
```
data_Re4Hg
_chemical_formula_sum 'Re4 Hg1'
_symmetry_space_group_name_H-M 'P m -3 m'
_symmetry_Int_Tables_number 221
_symmetry_space_group_name_Hall '-P 4 2 3'
_cell_length_a 4.767
_cell_length_b 4.767
_cell_length_c 4.767
_cell_angle_alpha 90.00
_cell_angle_beta 90.00
_cell_angle_gamma 90.00
loop_
_atom_site_label
_atom_site_type_symbol
_atom_site_fract_x
_atom_site_fract_y
_atom_site_fract_z
Re1 Re 0.000 0.000 0.000
Re2 Re 0.000 0.500 0.500
Hg1 Hg 0.500 0.500 0.500
```

Results
polymorph energy (0 for the lowest one)	3.179	eV per atom
electronic total energy	-6.341	eV per atom
total magnetization	0.18	μB/cell
density of states at the Fermi level	7.546	states/eV per cell
energy of formation from the pure elements	18.39	eV/f.u.

Repeat the second record exactly.
Below is crystalline Re3Hg at its relaxed geometry, with properties calculated at the PBE-GGA level.

Geometry as CIF:
```
data_Re3Hg
_chemical_formula_sum 'Re6 Hg2'
_symmetry_space_group_name_H-M 'P m -3 n'
_symmetry_Int_Tables_number 223
_symmetry_space_group_name_Hall '-P 4n 2 3'
_cell_length_a 5.067
_cell_length_b 5.067
_cell_length_c 5.067
_cell_angle_alpha 90.00
_cell_angle_beta 90.00
_cell_angle_gamma 90.00
loop_
_atom_site_label
_atom_site_type_symbol
_atom_site_fract_x
_atom_site_fract_y
_atom_site_fract_z
Re1 Re 0.000 0.250 0.500
Hg1 Hg 0.000 0.000 0.000
```

Results
polymorph energy (0 for the lowest one)	0.501	eV per atom
electronic total energy	-8.515	eV per atom
total magnetization	0.00	μB/cell
density of states at the Fermi level	9.136	states/eV per cell
energy of formation from the pure elements	3.59	eV/f.u.

Question: Look up the density of states at the Fermi level of the second one.
Answer: 9.136 states/eV per cell

Question: Among the records above, which one has the highest electronic total energy?
Answer: ReHg3